Compound: CoIrPb2
Source: Alexandria via LeMat-Bulk
Functional: SCAN
Structure: PBEsol geometry Values from VASP.

Structure (Quantum ESPRESSO input):
```
&SYSTEM
  ibrav = 0, nat = 4, ntyp = 3
/
ATOMIC_SPECIES
Co 58.93 Co.upf
Ir 192.22 Ir.upf
Pb 207.20 Pb.upf
ATOMIC_POSITIONS angstrom
Co 0.0000 0.0000 0.0000
Ir 2.3001 2.3001 0.0000
Pb 0.0000 2.3001 1.7057
Pb 2.3001 0.0000 1.7057
CELL_PARAMETERS angstrom
4.6002 0.0000 0.0000
0.0000 4.6002 0.0000
0.0000 0.0000 3.4114
```

Output
The polymorph energy (0 for the lowest one) comes out at 326 meV/atom. For the volume, the calculation gives 72.19 Å³/f.u. The total magnetization comes out at 1.91 μB per formula unit. Its space-group type is P4/mmm (123).

***

Compound: CoIrPb2
Source: Alexandria via LeMat-Bulk
Functional: SCAN
Structure: PBEsol geometry Values from VASP.

Structure (Quantum ESPRESSO input):
```
&SYSTEM
  ibrav = 0, nat = 4, ntyp = 3
/
ATOMIC_SPECIES
Co 58.93 Co.upf
Ir 192.22 Ir.upf
Pb 207.20 Pb.upf
ATOMIC_POSITIONS angstrom
Co 0.0000 0.0000 0.0000
Ir 1.5279 1.6349 1.1931
Pb 0.0000 0.0000 3.1173
Pb 1.5279 1.6349 6.2378
CELL_PARAMETERS angstrom
3.0557 0.0000 0.0000
0.0000 3.2698 0.0000
0.0000 0.0000 8.0426
```

Output
The polymorph energy (0 for the lowest one) comes out at 0 meV/atom. For the volume, the calculation gives 80.36 Å³/f.u. The total magnetization comes out at 2.42 μB per formula unit. Its space-group type is Pmm2 (25).

***

Compound: CoIr2Pb
Source: Alexandria via LeMat-Bulk
Functional: SCAN
Structure: PBEsol geometry Values from VASP.

Structure (Quantum ESPRESSO input):
```
&SYSTEM
  ibrav = 0, nat = 4, ntyp = 3
/
ATOMIC_SPECIES
Co 58.93 Co.upf
Ir 192.22 Ir.upf
Pb 207.20 Pb.upf
ATOMIC_POSITIONS angstrom
Co 0.0000 0.0000 0.0000
Ir 0.6343 2.3539 1.2169
Ir 0.6343 -2.3539 1.2169
Pb 2.7236 0.0000 0.0000
CELL_PARAMETERS angstrom
2.7236 -4.7077 0.0000
2.7236 4.7077 0.0000
-1.4549 0.0000 2.4339
```

Output
For the volume, the calculation gives 62.41 Å³/f.u. As for the total energy: -58.26 eV per atom. The total magnetization comes out at 2.11 μB per formula unit. Its space-group type is C2/m (12).

***

Compound: CoIr2Pb
Source: Alexandria via LeMat-Bulk
Functional: SCAN
Structure: PBEsol geometry Values from VASP.

Structure (Quantum ESPRESSO input):
```
&SYSTEM
  ibrav = 0, nat = 4, ntyp = 3
/
ATOMIC_SPECIES
Co 58.93 Co.upf
Ir 192.22 Ir.upf
Pb 207.20 Pb.upf
ATOMIC_POSITIONS angstrom
Co 0.0000 0.0000 0.0000
Ir 0.0000 0.0000 3.2537
Ir 1.4406 1.4406 1.5100
Pb 1.4406 1.4406 5.4940
CELL_PARAMETERS angstrom
2.8811 0.0000 0.0000
0.0000 2.8811 0.0000
0.0000 0.0000 7.5422
```

Output
For the volume, the calculation gives 62.61 Å³/f.u. As for the total energy: -58.25 eV per atom. The total magnetization comes out at 1.64 μB per formula unit. Its space-group type is P4mm (99).

***

Compound: CoIrPb2
Source: Alexandria via LeMat-Bulk
Functional: SCAN
Structure: PBEsol geometry Values from VASP.

Structure (Quantum ESPRESSO input):
```
&SYSTEM
  ibrav = 0, nat = 4, ntyp = 3
/
ATOMIC_SPECIES
Co 58.93 Co.upf
Ir 192.22 Ir.upf
Pb 207.20 Pb.upf
ATOMIC_POSITIONS angstrom
Co 0.0000 0.0000 0.0000
Ir 3.4958 0.0000 2.7544
Pb 1.1187 0.0000 4.1818
Pb 5.8729 0.0000 1.3270
CELL_PARAMETERS angstrom
4.1604 -1.6067 0.0000
4.1604 1.6067 0.0000
-1.3291 0.0000 5.5088
```

Output
The polymorph energy (0 for the lowest one) comes out at 334 meV/atom. For the volume, the calculation gives 73.65 Å³/f.u. The total magnetization comes out at 1.73 μB per formula unit. Its space-group type is C2/m (12).

***

Compound: CoIrPb2
Source: Alexandria via LeMat-Bulk
Functional: SCAN
Structure: PBEsol geometry Values from VASP.

Structure (Quantum ESPRESSO input):
```
&SYSTEM
  ibrav = 0, nat = 4, ntyp = 3
/
ATOMIC_SPECIES
Co 58.93 Co.upf
Ir 192.22 Ir.upf
Pb 207.20 Pb.upf
ATOMIC_POSITIONS angstrom
Co 0.0000 0.0000 0.0000
Ir 0.0000 0.0000 3.2795
Pb 1.6575 1.6575 1.5941
Pb 1.6575 1.6575 4.9650
CELL_PARAMETERS angstrom
3.3150 0.0000 0.0000
0.0000 3.3150 0.0000
0.0000 0.0000 6.5591
```

Output
The polymorph energy (0 for the lowest one) comes out at 365 meV/atom. For the volume, the calculation gives 72.08 Å³/f.u. The total magnetization comes out at 1.99 μB per formula unit. Its space-group type is P4/mmm (123).

***

Compound: Co2IrPt
Source: Alexandria via LeMat-Bulk
Functional: SCAN
Structure: PBEsol geometry Values from VASP.

Structure (Quantum ESPRESSO input):
```
&SYSTEM
  ibrav = 0, nat = 4, ntyp = 3
/
ATOMIC_SPECIES
Co 58.93 Co.upf
Ir 192.22 Ir.upf
Pt 195.08 Pt.upf
ATOMIC_POSITIONS angstrom
Co 0.0000 0.0000 1.2611
Co 0.0000 0.0000 4.0315
Ir 1.3185 1.7800 0.0000
Pt 1.3185 1.7800 2.6463
CELL_PARAMETERS angstrom
2.6371 0.0000 0.0000
0.0000 3.5600 0.0000
0.0000 0.0000 5.2926
```

Output
The polymorph energy (0 for the lowest one) comes out at 36 meV/atom. For the volume, the calculation gives 49.69 Å³/f.u. The total magnetization comes out at 4.87 μB per formula unit. Its space-group type is Pmmm (47).

***

Compound: Co2IrPt
Source: Alexandria via LeMat-Bulk
Functional: SCAN
Structure: PBEsol geometry Values from VASP.

Structure (Quantum ESPRESSO input):
```
&SYSTEM
  ibrav = 0, nat = 4, ntyp = 3
/
ATOMIC_SPECIES
Co 58.93 Co.upf
Ir 192.22 Ir.upf
Pt 195.08 Pt.upf
ATOMIC_POSITIONS angstrom
Co 1.3202 1.7967 0.0000
Co 1.3202 -1.7967 0.0000
Ir 0.0000 0.0000 1.3176
Pt 2.6404 0.0000 1.3176
CELL_PARAMETERS angstrom
2.6404 -3.5934 0.0000
2.6404 3.5934 0.0000
0.0000 0.0000 2.6352
```

Output
The polymorph energy (0 for the lowest one) comes out at 22 meV/atom. For the volume, the calculation gives 50.00 Å³/f.u. The total magnetization comes out at 4.74 μB per formula unit. Its space-group type is Cmmm (65).